Entry 1:
VASP calculation (PBE) on an optimized crystal structure of Pu8CoRu5.

It has space group I-4 (No. 82), with a = 8.369 Å, b = 8.369 Å, c = 8.320 Å, α = 90.00°, β = 90.00° and γ = 90.00°. The inequivalent atoms are Pu at (0.065, 0.319, 0.447), Pu at (0.068, 0.185, 0.808), Co at (0.000, 0.500, 0.750), Ru at (0.000, 0.000, 0.500) and Ru at (0.126, 0.247, 0.129).

For the total energy, the calculation gives -12.07 eV/atom. As for the crystal system: tetragonal. For the magnetization, the calculation gives 37.7 μB per formula unit.

Entry 2:
VASP calculation (PBE) on an optimized crystal structure of PuCoRu.

It has space group P-6m2 (No. 187), with a = 4.0786 Å, b = 4.0786 Å, c = 3.7881 Å, α = 90.00°, β = 90.00° and γ = 120.00°. The inequivalent atoms are Pu at (0.0000, 0.0000, 0.0000), Co at (0.3333, 0.6667, 0.5000) and Ru at (0.6667, 0.3333, 0.5000).

For the total energy, the calculation gives -10.17 eV/atom. As for the crystal system: hexagonal. For the magnetization, the calculation gives 3.2 μB per formula unit.

Entry 3:
VASP calculation (PBE) on an optimized crystal structure of PuCo4Ru.

It has space group F-43m (No. 216), with a = 6.876 Å, b = 6.876 Å, c = 6.876 Å, α = 90.00°, β = 90.00° and γ = 90.00°. The inequivalent atoms are Pu at (0.000, 0.000, 0.000), Co at (0.124, 0.124, 0.624) and Ru at (0.250, 0.250, 0.250).

For the total energy, the calculation gives -8.68 eV/atom. As for the crystal system: cubic. For the magnetization, the calculation gives 2.1 μB per formula unit.

Entry 4:
VASP calculation (PBE) on an optimized crystal structure of PuCoRu.

It has space group I4mm (No. 107), with a = 3.592 Å, b = 3.592 Å, c = 7.726 Å, α = 90.00°, β = 90.00° and γ = 90.00°. The inequivalent atoms are Pu at (0.000, 0.000, 0.000), Co at (0.000, 0.000, 0.679) and Ru at (0.000, 0.000, 0.316).

For the total energy, the calculation gives -10.12 eV/atom. As for the crystal system: tetragonal. For the magnetization, the calculation gives 3.0 μB per formula unit.

Entry 5:
VASP calculation (PBE) on an optimized crystal structure of PuCoRu2.

It has space group P4/mmm (No. 123), with a = 4.018 Å, b = 4.018 Å, c = 3.786 Å, α = 90.00°, β = 90.00° and γ = 90.00°. The inequivalent atoms are Pu at (0.000, 0.000, 0.000), Co at (0.500, 0.500, 0.000) and Ru at (0.000, 0.500, 0.500).

For the total energy, the calculation gives -9.98 eV/atom. As for the crystal system: tetragonal. For the magnetization, the calculation gives 1.7 μB per formula unit.

Entry 6:
VASP calculation (PBE) on an optimized crystal structure of PuScCoRu.

It has space group F-43m (No. 216), with a = 6.525 Å, b = 6.525 Å, c = 6.525 Å, α = 90.00°, β = 90.00° and γ = 90.00°. The inequivalent atoms are Pu at (0.000, 0.000, 0.000), Sc at (0.000, 0.000, 0.500), Co at (0.250, 0.250, 0.250) and Ru at (0.250, 0.250, 0.750).

For the total energy, the calculation gives -9.52 eV/atom. As for the crystal system: cubic. For the magnetization, the calculation gives 3.6 μB per formula unit.